[1]
Crystalline TaZnAs at its relaxed geometry. Source: the Alexandria database, functional GGA-PBE.

Values from the calculation:
Space group: P3m1
Calculated formation energy, eV per atom: 0.113
E_tot, hartree per atom: -0.2136
Volume, A^3/atom: 17.60
Density, g/cm³: 10.10

a b c (Å): 3.0199 3.0199 6.6865
angles (deg): 90.00 90.00 120.00
Closest atoms and distances in Å follow each position.
Positions (direct):
Ta (0.0000, 0.0000, 0.0000)  3 As 2.75, 3 Zn 2.82, 6 Ta 3.02
Zn (0.6667, 0.3333, 0.3323)  3 Ta 2.82, 3 As 2.92, 6 Zn 3.02
As (0.3333, 0.6667, 0.6826)  3 Ta 2.75, 3 Zn 2.92, 6 As 3.02

[2]
Crystalline TaZnAs at its relaxed geometry. Source: the Alexandria database, functional GGA-PBE.

Values from the calculation:
Space group: F-43m
Calculated formation energy, eV per atom: 0.846
E_tot, hartree per atom: -0.1867
Volume, A^3/atom: 19.21
Density, g/cm³: 9.26

a b c (Å): 4.3357 4.3357 4.3357
angles (deg): 60.00 60.00 60.00
Closest atoms and distances in Å follow each position.
Positions (direct):
Ta (0.0000, 0.0000, 0.0000)  4 Zn 2.66
Zn (0.7500, 0.7500, 0.7500)  4 Ta 2.66, 4 As 2.66
As (0.5000, 0.5000, 0.5000)  4 Zn 2.66

[3]
Crystalline ZrTaAs at its relaxed geometry. Source: the Alexandria database, functional GGA-PBE.

Values from the calculation:
Space group: Fmm2
Calculated formation energy, eV per atom: -0.329
E_tot, hartree per atom: -0.3189
Volume, A^3/atom: 19.13
Density, g/cm³: 10.04

a b c (Å): 6.7503 6.5142 3.1130
angles (deg): 80.69 72.24 27.07
Closest atoms and distances in Å follow each position.
Positions (direct):
Zr (0.0000, 0.0000, 0.0000)  2 As 2.74, 2 Ta 2.94
Ta (0.3149, 0.3149, 0.6851)  2 As 2.61
As (0.6643, 0.6643, 0.3357)  2 Ta 2.61, 2 Zr 2.74

[4]
Crystalline ZrTaAs2 at its relaxed geometry. Source: the Alexandria database, functional GGA-PBE.

Values from the calculation:
Space group: C2/m
Calculated formation energy, eV per atom: -0.544
Offset from the most stable computed form, meV per atom: 135.3
E_tot, hartree per atom: -0.2928
Volume, A^3/atom: 19.36
Density, g/cm³: 9.05

a b c (Å): 3.8122 3.8122 6.5327
angles (deg): 107.02 107.02 60.06
Closest atoms and distances in Å follow each position.
Positions (direct):
Zr (0.0000, 0.0000, 0.0000)  6 As 2.73
Ta (0.5000, 0.5000, 0.5000)  6 As 2.64
As (0.2461, 0.2461, 0.7382)  3 Ta 2.64, 3 Zr 2.73
As (0.7539, 0.7539, 0.2618)  3 Ta 2.64, 3 Zr 2.73

[5]
Crystalline ZrTaAs at its relaxed geometry. Source: the Alexandria database, functional GGA-PBE.

Values from the calculation:
Space group: P3m1
Calculated formation energy, eV per atom: -0.374
E_tot, hartree per atom: -0.3206
Volume, A^3/atom: 20.09
Density, g/cm³: 9.56

a b c (Å): 3.4682 3.4682 5.7863
angles (deg): 90.00 90.00 120.00
Closest atoms and distances in Å follow each position.
Positions (direct):
Zr (0.0000, 0.0000, 0.0000)  3 As 2.73, 3 Ta 3.01
Ta (0.6667, 0.3333, 0.6106)  3 As 2.61
As (0.3333, 0.6667, 0.3216)  3 Ta 2.61, 3 Zr 2.73

[6]
Crystalline ZrTaAs at its relaxed geometry. Source: the Alexandria database, functional GGA-PBE.

Values from the calculation:
Space group: P-6m2
Calculated formation energy, eV per atom: -0.086
E_tot, hartree per atom: -0.3100
Volume, A^3/atom: 19.14
Density, g/cm³: 10.04

a b c (Å): 4.8039 4.8039 2.8737
angles (deg): 90.00 90.00 120.00
Closest atoms and distances in Å follow each position.
Positions (direct):
Zr (0.0000, 0.0000, 0.0000)  2 Zr 2.87, 6 Ta 3.12, 6 As 3.12
Ta (0.3333, 0.6667, 0.5000)  3 As 2.77, 2 Ta 2.87
As (0.6667, 0.3333, 0.5000)  3 Ta 2.77, 2 As 2.87

[7]
Crystalline ZrTaAs2 at its relaxed geometry. Source: the Alexandria database, functional GGA-PBE.

Values from the calculation:
Space group: Amm2
Calculated formation energy, eV per atom: -0.491
Offset from the most stable computed form, meV per atom: 188.4
E_tot, hartree per atom: -0.2909
Volume, A^3/atom: 19.90
Density, g/cm³: 8.80

a b c (Å): 4.9134 5.0163 5.0163
angles (deg): 40.08 90.00 90.00
Closest atoms and distances in Å follow each position.
Positions (direct):
Zr (0.0000, 0.0000, 0.0000)  3 As 2.66-2.68
Ta (0.5000, 0.2870, 0.2870)  5 As 2.46-2.67
As (0.0000, 0.2822, 0.2822)  2 Ta 2.46, 3 Zr 2.66-2.68
As (0.5000, 0.5703, 0.5703)  3 Ta 2.67

[8]
Crystalline ZrTaAs3 at its relaxed geometry. Source: the Alexandria database, functional GGA-PBE.

Values from the calculation:
Space group: Pm-3m
Calculated formation energy, eV per atom: 1.017
Offset from the most stable computed form, meV per atom: 667.2
E_tot, hartree per atom: -0.2151
Volume, A^3/atom: 25.64
Density, g/cm³: 6.44

a b c (Å): 5.0422 5.0422 5.0422
angles (deg): 90.00 90.00 90.00
Closest atoms and distances in Å follow each position.
Positions (direct):
Zr (0.0000, 0.0000, 0.0000)  6 As 2.52
Ta (0.5000, 0.5000, 0.5000)  12 As 3.57
As (0.0000, 0.0000, 0.5000)  2 Zr 2.52
As (0.0000, 0.5000, 0.0000)  2 Zr 2.52
As (0.5000, 0.0000, 0.0000)  2 Zr 2.52

[9]
Crystalline ZrTaAs2 at its relaxed geometry. Source: the Alexandria database, functional GGA-PBE.

Values from the calculation:
Space group: R3m
Calculated formation energy, eV per atom: -0.679
Offset from the most stable computed form, meV per atom: 0.0
E_tot, hartree per atom: -0.2978
Volume, A^3/atom: 19.17
Density, g/cm³: 9.14

a b c (Å): 7.2206 7.2206 7.2206
angles (deg): 28.69 28.69 28.69
Closest atoms and distances in Å follow each position.
Positions (direct):
Zr (0.0000, 0.0000, 0.0000)  6 As 2.75
Ta (0.1675, 0.1675, 0.1675)  6 As 2.63-2.65
As (0.4208, 0.4208, 0.4208)  3 Ta 2.65, 3 Zr 2.75
As (0.5790, 0.5790, 0.5790)  3 Ta 2.63, 3 Zr 2.75

[10]
Crystalline ZrTaAs2 at its relaxed geometry. Source: the Alexandria database, functional GGA-PBE.

Values from the calculation:
Space group: P4mm
Calculated formation energy, eV per atom: -0.140
Offset from the most stable computed form, meV per atom: 539.0
E_tot, hartree per atom: -0.2780
Volume, A^3/atom: 21.84
Density, g/cm³: 8.02

a b c (Å): 2.9258 2.9258 10.2054
angles (deg): 90.00 90.00 90.00
Closest atoms and distances in Å follow each position.
Positions (direct):
Zr (0.0000, 0.0000, 0.0000)  4 Zr 2.93, 4 As 2.97, 4 Ta 3.16
Ta (0.5000, 0.5000, 0.7664)  4 As 2.88, 4 Ta 2.93, 4 Zr 3.16
As (0.0000, 0.0000, 0.5708)  4 Ta 2.88, 4 As 2.93
As (0.5000, 0.5000, 0.2084)  4 As 2.93, 4 Zr 2.97

[11]
Crystalline Zr2TaAs2 at its relaxed geometry. Source: the Alexandria database, functional GGA-PBE.

Values from the calculation:
Space group: P4/mbm
Calculated formation energy, eV per atom: -0.791
E_tot, hartree per atom: -0.3102
Volume, A^3/atom: 18.61
Density, g/cm³: 9.16

a b c (Å): 7.0792 7.0792 3.7139
angles (deg): 90.00 90.00 90.00
Closest atoms and distances in Å follow each position.
Positions (direct):
Zr (0.1584, 0.3416, 0.0000)  6 As 2.70-2.85
Zr (0.3416, 0.8416, 0.0000)  6 As 2.70-2.85
Zr (0.6584, 0.1584, 0.0000)  6 As 2.70-2.85
Zr (0.8416, 0.6584, 0.0000)  6 As 2.70-2.85
Ta (0.0000, 0.0000, 0.5000)  4 As 2.71
Ta (0.5000, 0.5000, 0.5000)  4 As 2.71
As (0.1458, 0.6458, 0.5000)  6 Zr 2.70-2.85, 2 Ta 2.71, 1 As 2.92
As (0.3542, 0.1458, 0.5000)  6 Zr 2.70-2.85, 2 Ta 2.71, 1 As 2.92
As (0.6458, 0.8542, 0.5000)  6 Zr 2.70-2.85, 2 Ta 2.71, 1 As 2.92
As (0.8542, 0.3542, 0.5000)  6 Zr 2.70-2.85, 2 Ta 2.71, 1 As 2.92

[12]
Crystalline ZrTaAs2 at its relaxed geometry. Source: the Alexandria database, functional GGA-PBE.

Values from the calculation:
Space group: Cmm2
Calculated formation energy, eV per atom: -0.237
Offset from the most stable computed form, meV per atom: 442.2
E_tot, hartree per atom: -0.2816
Volume, A^3/atom: 21.85
Density, g/cm³: 8.02

a b c (Å): 3.0060 3.0060 10.0137
angles (deg): 90.00 90.00 105.05
Closest atoms and distances in Å follow each position.
Positions (direct):
Zr (0.0000, 0.0000, 0.0000)  2 As 2.76, 4 Zr 3.01, 2 Ta 3.01
Ta (0.5000, 0.5000, 0.7614)  2 As 2.64
As (0.0000, 0.0000, 0.5716)  2 Ta 2.64
As (0.5000, 0.5000, 0.2063)  2 Zr 2.76, 4 As 3.01

> Among the records above, which one has the lowest E_tot?

number 5